Compound: Rb2TmSe2O6
Source: the Alexandria database
Functional: PBE-GGA
Structure: optimized geometry

Electronic total energy in eV per atom: -5.4992
Energy relative to the elements, uncorrected in eV/atom: -1.58
Space group: C2/m

Lattice parameters (Å, degrees): 6.234 5.740 7.322 107.74 90.00 122.89
Positions (direct):
Tm1 0.500 0.000 0.500
O1 0.264 0.022 0.730
O2 0.748 0.495 0.567
O3 0.758 0.022 0.730
O4 0.252 0.505 0.433
O5 0.242 0.978 0.270
O6 0.736 0.978 0.270
Rb1 0.704 0.409 0.148
Rb2 0.296 0.591 0.852
Se1 0.079 0.159 0.245
Se2 0.921 0.841 0.755

Compound: ThHg2Au
Source: the Alexandria database
Functional: PBE-GGA
Structure: optimized geometry

Electronic total energy in eV per atom: -2.9898
Space group: P4/mmm
ΔH_f (0 K) in eV/atom: -0.1646

Lattice parameters (Å, degrees): 3.632 3.632 7.221 90.00 90.00 90.00
Positions (direct):
Au1 0.500 0.500 0.000
Hg1 0.000 0.000 0.217
Hg2 0.000 0.000 0.783
Th1 0.500 0.500 0.500

Compound: Nd2Y5ErTh
Source: the Alexandria database
Functional: PBE-GGA
Structure: optimized geometry

Electronic total energy in eV per atom: -5.6941
Space group: I4/mcm
ΔH_f (0 K) in eV/atom: 0.2880

Lattice parameters (Å, degrees): 8.749 8.749 9.912 116.19 116.19 90.00
Positions (direct):
Er1 0.750 0.250 0.500
Er2 0.250 0.750 0.500
Y1 0.927 0.427 0.279
Y2 0.500 0.500 0.000
Y3 0.073 0.573 0.721
Y4 0.852 0.927 0.279
Y5 0.648 0.148 0.721
Y6 0.427 0.352 0.279
Y7 0.573 0.648 0.721
Y8 0.000 0.000 0.000
Y9 0.352 0.852 0.279
Y10 0.148 0.073 0.721
Th1 0.750 0.750 0.500
Th2 0.250 0.250 0.500
Nd1 0.884 0.616 0.000
Nd2 0.616 0.116 0.000
Nd3 0.116 0.384 0.000
Nd4 0.384 0.884 0.000

Compound: La4HfN5
Source: the Alexandria database
Functional: PBE-GGA
Structure: optimized geometry

Electronic total energy in eV per atom: -8.5447
Energy relative to the elements, uncorrected in eV/atom: -1.42
Space group: I4

Lattice parameters (Å, degrees): 5.295 6.284 6.284 79.77 65.08 65.08
Positions (direct):
N1 0.434 0.000 0.000
N2 0.094 0.642 0.177
N3 0.913 0.358 0.823
N4 0.271 0.823 0.642
N5 0.736 0.177 0.358
Hf1 0.045 0.000 0.000
La1 0.205 0.193 0.406
La2 0.398 0.406 0.807
La3 0.611 0.594 0.193
La4 0.804 0.807 0.594

- Look up the electronic total energy of the second one.
  -2.9898 eV per atom

What did the third record say?
Compound: Nd2Y5ErTh
Source: the Alexandria database
Functional: PBE-GGA
Structure: optimized geometry

Electronic total energy in eV per atom: -5.6941
Space group: I4/mcm
ΔH_f (0 K) in eV/atom: 0.2880

Lattice parameters (Å, degrees): 8.749 8.749 9.912 116.19 116.19 90.00
Positions (direct):
Er1 0.750 0.250 0.500
Er2 0.250 0.750 0.500
Y1 0.927 0.427 0.279
Y2 0.500 0.500 0.000
Y3 0.073 0.573 0.721
Y4 0.852 0.927 0.279
Y5 0.648 0.148 0.721
Y6 0.427 0.352 0.279
Y7 0.573 0.648 0.721
Y8 0.000 0.000 0.000
Y9 0.352 0.852 0.279
Y10 0.148 0.073 0.721
Th1 0.750 0.750 0.500
Th2 0.250 0.250 0.500
Nd1 0.884 0.616 0.000
Nd2 0.616 0.116 0.000
Nd3 0.116 0.384 0.000
Nd4 0.384 0.884 0.000

What did the third record say?
Compound: Nd2Y5ErTh
Source: the Alexandria database
Functional: PBE-GGA
Structure: optimized geometry

Electronic total energy in eV per atom: -5.6941
Space group: I4/mcm
ΔH_f (0 K) in eV/atom: 0.2880

Lattice parameters (Å, degrees): 8.749 8.749 9.912 116.19 116.19 90.00
Positions (direct):
Er1 0.750 0.250 0.500
Er2 0.250 0.750 0.500
Y1 0.927 0.427 0.279
Y2 0.500 0.500 0.000
Y3 0.073 0.573 0.721
Y4 0.852 0.927 0.279
Y5 0.648 0.148 0.721
Y6 0.427 0.352 0.279
Y7 0.573 0.648 0.721
Y8 0.000 0.000 0.000
Y9 0.352 0.852 0.279
Y10 0.148 0.073 0.721
Th1 0.750 0.750 0.500
Th2 0.250 0.250 0.500
Nd1 0.884 0.616 0.000
Nd2 0.616 0.116 0.000
Nd3 0.116 0.384 0.000
Nd4 0.384 0.884 0.000

- Which of these has the lowest electronic total energy?
  La4HfN5